## CuTeCI2 (PBE-GGA)

Data for a relaxed structure of CuTeCI2.

Calculated values
- raw formation energy (eV per atom) = 1.654
- Fermi-level density of states (states/eV per atom) = 1.43
- polymorph energy (0 for the lowest one) (eV/f.u.) = 1.64

a b c (Å): 5.3380 5.3380 5.1963
angles (deg): 90.00 90.00 90.00
Closest atoms and distances in Å follow each position.
Fractional positions:
1 I 0.5000 0.0000 0.0000  2 Cu 2.67
2 I 0.0000 0.5000 0.0000  2 Cu 2.67
3 Cu 0.0000 0.0000 0.0000  2 Te 2.60, 4 I 2.67
4 C 0.5000 0.5000 0.5000  8 I 3.72, 4 Te 3.77
5 Te 0.0000 0.0000 0.5000  2 Cu 2.60

---

## TiCuCI2 (PBE-GGA)

Data for a relaxed structure of TiCuCI2.

Calculated values
- raw formation energy (eV per atom) = 0.776
- Fermi-level density of states (states/eV per atom) = 0.60

a b c (Å): 5.6441 3.8339 5.6441
angles (deg): 90.00 90.00 90.00
Closest atoms and distances in Å follow each position.
Fractional positions:
1 Ti 0.0000 0.0000 0.0000  2 C 1.92
2 Cu 0.5000 0.5000 0.5000  8 I 3.41
3 I 0.5000 0.0000 0.0000  2 Ti 2.82
4 I 0.0000 0.0000 0.5000  2 Ti 2.82
5 C 0.0000 0.5000 0.0000  2 Ti 1.92

---

## InCuC (PBE-GGA)

Data for a relaxed structure of InCuC.

Calculated values
- DFT formation energy (eV per atom) = 1.389
- Fermi-level density of states (states/eV per atom) = 0.07

a b c (Å): 3.8267 3.8267 7.0235
angles (deg): 90.00 90.00 120.00
Closest atoms and distances in Å follow each position.
Fractional positions:
1 C 0.3333 0.6667 0.7500  3 In 2.21
2 C 0.6667 0.3333 0.2500  3 In 2.21
3 In 0.6667 0.3333 0.7500  3 C 2.21
4 In 0.3333 0.6667 0.2500  3 C 2.21
5 Cu 0.0000 0.0000 0.0000  6 C 2.82, 6 In 2.82
6 Cu 0.0000 0.0000 0.5000  6 In 2.82, 6 C 2.82

---

## InCuC (PBE-GGA)

Data for a relaxed structure of InCuC.

Calculated values
- DFT formation energy (eV per atom) = 0.571
- Fermi-level density of states (states/eV per atom) = 0.22

a b c (Å): 3.4008 6.4912 4.9593
angles (deg): 97.87 90.45 89.85
Closest atoms and distances in Å follow each position.
Fractional positions:
1 Cu 0.0655 0.8866 0.5733  2 C 1.85-1.87
2 Cu 0.0633 0.5399 0.7562  1 C 2.04
3 C 0.0661 0.8408 0.9378  1 C 1.27
4 C 0.0662 0.8571 0.1965  1 C 1.27
5 In 0.5646 0.2128 0.6890  4 Cu 2.70-2.72
6 In 0.5668 0.5459 0.2538  2 C 2.68-2.69, 3 Cu 2.99-3.00

---

## InCuC (PBE-GGA)

Data for a relaxed structure of InCuC.

Calculated values
- DFT formation energy (eV per atom) = 0.599
- Fermi-level density of states (states/eV per atom) = 0.30

a b c (Å): 3.8016 5.6418 5.6712
angles (deg): 66.32 116.79 109.98
Closest atoms and distances in Å follow each position.
Fractional positions:
1 In 0.5134 0.5131 0.2030  2 C 2.52-2.74, 2 Cu 2.74-2.79
2 In 0.0468 0.1312 0.7662  2 C 2.77-2.86, 6 Cu 2.80-3.03
3 Cu 0.7541 0.5625 0.7724  1 C 1.93
4 Cu 0.8179 0.1439 0.1763  1 C 1.91
5 C 0.2690 0.6940 0.6373  1 C 1.29
6 C 0.0054 0.8386 0.4590  1 C 1.29

---

## InCuC (PBE-GGA)

Data for a relaxed structure of InCuC.

Calculated values
- DFT formation energy (eV per atom) = 2.094
- Fermi-level density of states (states/eV per atom) = 0.41

a b c (Å): 4.5619 4.5619 8.0136
angles (deg): 90.00 90.00 120.00
Closest atoms and distances in Å follow each position.
Fractional positions:
1 In 0.0000 0.0000 0.7500  2 C 2.00
2 In 0.0000 0.0000 0.2500  2 C 2.00
3 C 0.0000 0.0000 0.0000  2 In 2.00
4 C 0.0000 0.0000 0.5000  2 In 2.00
5 Cu 0.3333 0.6667 0.2500  3 In 2.63
6 Cu 0.6667 0.3333 0.7500  3 In 2.63

---

## In2Cu2C (PBE-GGA)

Data for a relaxed structure of In2Cu2C.

Calculated values
- DFT formation energy (eV per atom) = 0.655
- Fermi-level density of states (states/eV per atom) = 0.39
- polymorph energy (0 for the lowest one) (eV/f.u.) = 0.00

a b c (Å): 5.6069 5.6069 5.5573
angles (deg): 90.00 90.00 90.00
Closest atoms and distances in Å follow each position.
Fractional positions:
1 Cu 0.7472 0.2472 0.0000  2 C 1.98
2 Cu 0.2528 0.7528 0.0000  2 C 1.98
3 Cu 0.7528 0.7472 0.0000  2 C 1.98
4 Cu 0.2472 0.2528 0.0000  2 C 1.98
5 In 0.3102 0.1898 0.5000  2 Cu 2.82, 5 In 2.88-3.01
6 In 0.1898 0.6898 0.5000  2 Cu 2.82, 5 In 2.88-3.01
7 In 0.8102 0.3102 0.5000  2 Cu 2.82, 5 In 2.88-3.01
8 In 0.6898 0.8102 0.5000  2 Cu 2.82, 5 In 2.88-3.01
9 C 0.5000 0.5000 0.0000  4 Cu 1.98
10 C 0.0000 0.0000 0.0000  4 Cu 1.98

---

## InCu2C (PBE-GGA)

Data for a relaxed structure of InCu2C.

Calculated values
- DFT formation energy (eV per atom) = 1.296
- Fermi-level density of states (states/eV per atom) = 0.95
- polymorph energy (0 for the lowest one) (eV/f.u.) = 2.17

a b c (Å): 4.2585 4.2585 4.2585
angles (deg): 60.00 60.00 60.00
Closest atoms and distances in Å follow each position.
Fractional positions:
1 Cu 0.2500 0.2500 0.2500  4 In 2.61, 4 C 2.61
2 Cu 0.7500 0.7500 0.7500  4 C 2.61, 4 In 2.61
3 C 0.0000 0.0000 0.0000  8 Cu 2.61
4 In 0.5000 0.5000 0.5000  8 Cu 2.61

---

## InCuC (PBE-GGA)

Data for a relaxed structure of InCuC.

Calculated values
- DFT formation energy (eV per atom) = 0.617
- Fermi-level density of states (states/eV per atom) = 0.24

a b c (Å): 3.4417 7.0019 4.7718
angles (deg): 91.29 115.11 88.03
Closest atoms and distances in Å follow each position.
Fractional positions:
1 C 0.1081 0.8090 0.3196  1 C 1.28
2 C 0.9630 0.8144 0.0235  1 C 1.28
3 Cu 0.0248 0.9214 0.6715  2 C 1.95-1.96
4 Cu 0.5346 0.6498 0.6733  2 C 2.03-2.06
5 In 0.2800 0.4682 0.0920  2 C 2.59-2.75, 3 Cu 2.78-2.84
6 In 0.4820 0.2205 0.6267  3 Cu 2.71-3.02, 1 In 2.93

---

## InCuC (PBE-GGA)

Data for a relaxed structure of InCuC.

Calculated values
- DFT formation energy (eV per atom) = 1.036
- Fermi-level density of states (states/eV per atom) = 0.40

a b c (Å): 8.0264 3.4666 6.0169
angles (deg): 90.00 90.00 90.00
Closest atoms and distances in Å follow each position.
Fractional positions:
1 Cu 0.7213 0.7500 0.9221  3 C 2.03-2.10
2 Cu 0.2213 0.7500 0.5779  3 C 2.03-2.10
3 Cu 0.7787 0.2500 0.4221  3 C 2.03-2.10
4 Cu 0.2787 0.2500 0.0779  3 C 2.03-2.10
5 In 0.4906 0.2500 0.7295  3 C 2.42-2.54, 1 Cu 2.70
6 In 0.9906 0.2500 0.7705  3 C 2.42-2.54, 1 Cu 2.70
7 In 0.5094 0.7500 0.2705  3 C 2.42-2.54, 1 Cu 2.70
8 In 0.0094 0.7500 0.2295  3 C 2.42-2.54, 1 Cu 2.70
9 C 0.6962 0.7500 0.5872  3 Cu 2.03-2.10
10 C 0.1962 0.7500 0.9128  3 Cu 2.03-2.10
11 C 0.8038 0.2500 0.0872  3 Cu 2.03-2.10
12 C 0.3038 0.2500 0.4128  3 Cu 2.03-2.10

---

## InCuC (PBE-GGA)

Data for a relaxed structure of InCuC.

Calculated values
- DFT formation energy (eV per atom) = 0.584
- Fermi-level density of states (states/eV per atom) = 0.23

a b c (Å): 4.8839 6.5948 4.9532
angles (deg): 64.04 56.47 60.74
Closest atoms and distances in Å follow each position.
Fractional positions:
1 Cu 0.4969 0.8800 0.2849  2 C 1.83-1.86
2 Cu 0.6441 0.4903 0.6995  1 C 2.17
3 In 0.3840 0.3011 0.4184  1 C 2.49
4 In 0.9820 0.4620 0.0355  1 C 2.72, 4 Cu 2.76-2.85, 3 In 2.90-2.98
5 C 0.5004 0.8855 0.9099  1 C 1.27
6 C 0.5019 0.8644 0.6658  1 C 1.27

---

## InCuC2 (PBE-GGA)

Data for a relaxed structure of InCuC2.

Calculated values
- DFT formation energy (eV per atom) = 1.600
- Fermi-level density of states (states/eV per atom) = 0.61

a b c (Å): 4.6829 4.6829 6.0760
angles (deg): 67.33 67.33 90.00
Closest atoms and distances in Å follow each position.
Fractional positions:
1 In 0.0000 0.0000 0.0000  4 C 2.27
2 In 0.7500 0.2500 0.5000  4 C 2.27
3 C 0.5623 0.1250 0.2500  2 Cu 1.94
4 C 0.8750 0.8123 0.7500  2 Cu 1.94
5 C 0.1877 0.6250 0.2500  2 Cu 1.94
6 C 0.3750 0.4377 0.7500  2 Cu 1.94
7 Cu 0.5000 0.5000 0.0000  4 C 1.94
8 Cu 0.2500 0.7500 0.5000  4 C 1.94

---

## In2CuC (PBE-GGA)

Data for a relaxed structure of In2CuC.

Calculated values
- DFT formation energy (eV per atom) = 0.888
- Fermi-level density of states (states/eV per atom) = 0.68

a b c (Å): 6.0286 6.0286 6.2464
angles (deg): 61.15 61.15 90.00
Closest atoms and distances in Å follow each position.
Fractional positions:
1 C 0.5000 0.5000 0.0000  4 In 2.19
2 C 0.2500 0.7500 0.5000  4 In 2.19
3 In 0.5594 0.1250 0.2500  2 C 2.19
4 In 0.3750 0.4406 0.7500  2 C 2.19
5 In 0.1906 0.6250 0.2500  2 C 2.19
6 In 0.8750 0.8094 0.7500  2 C 2.19
7 Cu 0.0000 0.0000 0.0000  4 In 2.68
8 Cu 0.7500 0.2500 0.5000  4 In 2.68

---

## InCu2C (PBE-GGA)

Data for a relaxed structure of InCu2C.

Calculated values
- DFT formation energy (eV per atom) = 0.754
- Fermi-level density of states (states/eV per atom) = 0.72
- polymorph energy (0 for the lowest one) (eV/f.u.) = 0.00

a b c (Å): 4.6243 4.6243 6.8555
angles (deg): 70.29 70.29 90.00
Closest atoms and distances in Å follow each position.
Fractional positions:
1 C 0.5000 0.5000 0.0000  4 Cu 1.93
2 C 0.2500 0.7500 0.5000  4 Cu 1.93
3 In 0.7500 0.2500 0.5000  4 Cu 2.73
4 In 0.0000 0.0000 0.0000  4 Cu 2.73
5 Cu 0.3003 0.6250 0.2500  2 C 1.93
6 Cu 0.4497 0.1250 0.2500  2 C 1.93
7 Cu 0.3750 0.5503 0.7500  2 C 1.93
8 Cu 0.8750 0.6997 0.7500  2 C 1.93